# BeCo5

Crystalline BeCo5 at its relaxed geometry (GGA-PBEsol, Alexandria).

```
BeCo5
1.0
4.174 0.000 0.000
-2.087 3.615 0.000
0.000 0.000 3.925
Be Co
1 5
direct
0.000 0.000 0.000
0.000 0.324 0.500
0.324 0.000 0.500
0.333 0.667 0.000
0.667 0.333 0.000
0.676 0.676 0.500
```

Properties
- Crystal system: hexagonal
- E above lowest polymorph: 1.72 kJ per mole of atoms
- Formation energy from the elements: -58 meV/atom